The following is a DFT calculation (PBE) of an optimized crystal structure of NaCu2Hg.

total DFT energy (no corrections)	-2.187	eV/atom
spin magnetization	0.0	Bohr magnetons per cell

Cell lengths 9.7537, 9.7537, 9.7537 Å; angles 152.14, 152.14, 39.81 degrees
Last column: nearest neighbours and their distance in Å.
Element x y z (fractional)
Na (0.3750, 0.6250, 0.7500)  4 Hg 3.32, 8 Cu 3.49
Na (0.6250, 0.3750, 0.2500)  4 Hg 3.32, 8 Cu 3.49
Cu (0.0000, 0.0000, 0.0000)  2 Cu 2.35, 2 Hg 2.58
Cu (0.0000, 0.0000, 0.5000)  2 Cu 2.35, 2 Hg 2.58
Cu (0.0000, 0.5000, 0.0000)  2 Cu 2.35, 2 Hg 2.58
Cu (0.5000, 0.0000, 0.5000)  2 Cu 2.35, 2 Hg 2.58
Hg (0.1250, 0.8750, 0.2500)  4 Cu 2.58
Hg (0.8750, 0.1250, 0.7500)  4 Cu 2.58

The following is a DFT calculation (PBE) of an optimized crystal structure of NaCu4Hg.

total DFT energy (no corrections)	-2.938	eV/atom
spin magnetization	0.0	Bohr magnetons per cell

Cell lengths 5.0704, 5.0704, 5.0704 Å; angles 60.00, 60.00, 60.00 degrees
Last column: nearest neighbours and their distance in Å.
Element x y z (fractional)
Na (0.0000, 0.0000, 0.0000)  12 Cu 2.97, 4 Hg 3.10
Cu (0.1256, 0.6248, 0.6248)  6 Cu 2.53-2.54
Cu (0.6248, 0.1256, 0.6248)  6 Cu 2.53-2.54
Cu (0.6248, 0.6248, 0.1256)  6 Cu 2.53-2.54
Cu (0.6248, 0.6248, 0.6248)  6 Cu 2.53-2.54
Hg (0.2500, 0.2500, 0.2500)  12 Cu 2.97, 4 Na 3.10